## AcCuH3 (GGA-PBE)

Data for an optimized crystal structure of AcCuH3. Values from VASP.

Quantum ESPRESSO input file:
```
&SYSTEM
  ibrav = 0, nat = 5, ntyp = 3
/
ATOMIC_SPECIES
Ac 227.00 Ac.upf
Cu 63.55 Cu.upf
H 1.01 H.upf
ATOMIC_POSITIONS angstrom
Ac 0.000 0.000 0.000
Cu 1.933 1.933 1.933
H 0.000 1.933 1.933
H 1.933 0.000 1.933
H 1.933 1.933 0.000
CELL_PARAMETERS angstrom
3.865 0.000 0.000
0.000 3.865 0.000
0.000 0.000 3.865
```

Computed properties:
The density of states at the Fermi level is 2.70 states/eV/cell. The value obtained for the total energy is -3.87 eV/atom. Its density is 8.44 g/cm³. The space group is Pm-3m.



## Rb3CdBr (GGA-PBE)

Data for an optimized crystal structure of Rb3CdBr. Values from VASP.

Quantum ESPRESSO input file:
```
&SYSTEM
  ibrav = 0, nat = 5, ntyp = 3
/
ATOMIC_SPECIES
Rb 85.47 Rb.upf
Cd 112.41 Cd.upf
Br 79.90 Br.upf
ATOMIC_POSITIONS angstrom
Rb 0.000 0.000 3.348
Rb 0.000 3.348 0.000
Rb 3.348 0.000 0.000
Cd 3.348 3.348 3.348
Br 0.000 0.000 0.000
CELL_PARAMETERS angstrom
6.696 0.000 0.000
0.000 6.696 0.000
0.000 0.000 6.696
```

Computed properties:
The density of states at the Fermi level is 4.41 states/eV/cell. As for the formation energy without anion corrections: -2.87 eV/f.u. The value obtained for the total energy is -1.67 eV/atom. Its density is 2.48 g/cm³. The space group is Pm-3m.



## Ag2RuRh (GGA-PBE)

Data for an optimized crystal structure of Ag2RuRh. Values from VASP.

Quantum ESPRESSO input file:
```
&SYSTEM
  ibrav = 0, nat = 4, ntyp = 3
/
ATOMIC_SPECIES
Ag 107.87 Ag.upf
Ru 101.07 Ru.upf
Rh 102.91 Rh.upf
ATOMIC_POSITIONS angstrom
Ag 0.000 2.407 0.000
Ag 2.407 0.000 0.000
Ru 0.000 0.000 1.404
Rh 2.407 2.407 1.404
CELL_PARAMETERS angstrom
4.814 0.000 0.000
0.000 4.814 0.000
0.000 0.000 2.807
```

Computed properties:
The density of states at the Fermi level is 4.03 states/eV/cell. The value obtained for the total energy is -4.93 eV/atom. Its density is 10.71 g/cm³. The calculation puts the formation enthalpy at 0 K at 0.656 eV/atom. The space group is P4/mmm.



## KMgPO5 (GGA-PBE)

Data for an optimized crystal structure of KMgPO5. Values from VASP.

Quantum ESPRESSO input file:
```
&SYSTEM
  ibrav = 0, nat = 16, ntyp = 4
/
ATOMIC_SPECIES
K 39.10 K.upf
Mg 24.30 Mg.upf
P 30.97 P.upf
O 16.00 O.upf
ATOMIC_POSITIONS angstrom
K 0.000 0.116 0.000
K 2.727 8.344 2.536
Mg 0.000 4.294 0.638
Mg 2.727 4.165 3.174
P 0.000 6.009 2.902
P 2.727 2.451 0.367
O 0.000 2.415 1.549
O 0.000 5.830 4.442
O 0.000 7.488 2.533
O 1.209 5.231 2.249
O 1.518 3.229 4.785
O 2.727 0.972 5.068
O 2.727 2.629 1.906
O 2.727 6.044 4.085
O 3.936 3.229 4.785
O 4.245 5.231 2.249
CELL_PARAMETERS angstrom
5.454 0.000 0.000
0.000 8.459 0.000
0.000 0.000 5.071
```

Computed properties:
The density of states at the Fermi level is 2.08 states/eV/cell. As for the formation energy without anion corrections: -15.06 eV/f.u. The value obtained for the total energy is -5.99 eV/atom. Its density is 2.48 g/cm³. The space group is Pmn2_1.



## Li2ZrTa (GGA-PBE)

Data for an optimized crystal structure of Li2ZrTa. Values from VASP.

Quantum ESPRESSO input file:
```
&SYSTEM
  ibrav = 0, nat = 4, ntyp = 3
/
ATOMIC_SPECIES
Li 6.94 Li.upf
Zr 91.22 Zr.upf
Ta 180.95 Ta.upf
ATOMIC_POSITIONS angstrom
Li 0.000 0.000 0.000
Li 1.454 1.454 2.226
Zr 1.454 1.454 6.713
Ta 0.000 0.000 4.489
CELL_PARAMETERS angstrom
2.909 0.000 0.000
0.000 2.909 0.000
0.000 0.000 9.298
```

Computed properties:
The density of states at the Fermi level is 3.37 states/eV/cell. The value obtained for the total energy is -5.84 eV/atom. Its density is 6.04 g/cm³. The calculation puts the formation enthalpy at 0 K at 0.213 eV/atom. The space group is P4mm.



## BaZnIr2 (GGA-PBE)

Data for an optimized crystal structure of BaZnIr2. Values from VASP.

Quantum ESPRESSO input file:
```
&SYSTEM
  ibrav = 0, nat = 4, ntyp = 3
/
ATOMIC_SPECIES
Ba 137.33 Ba.upf
Zn 65.41 Zn.upf
Ir 192.22 Ir.upf
ATOMIC_POSITIONS angstrom
Ba 0.000 0.000 0.000
Zn 0.000 0.000 3.521
Ir 1.480 1.968 2.274
Ir 1.480 1.968 4.768
CELL_PARAMETERS angstrom
2.959 0.000 0.000
0.000 3.935 0.000
0.000 0.000 7.042
```

Computed properties:
The density of states at the Fermi level is 4.66 states/eV/cell. The value obtained for the total energy is -4.90 eV/atom. Its density is 11.89 g/cm³. The calculation puts the formation enthalpy at 0 K at 0.328 eV/atom. The space group is Pmmm.



## RbPdBr3 (GGA-PBE)

Data for an optimized crystal structure of RbPdBr3. Values from VASP.

Quantum ESPRESSO input file:
```
&SYSTEM
  ibrav = 0, nat = 10, ntyp = 3
/
ATOMIC_SPECIES
Rb 85.47 Rb.upf
Pd 106.42 Pd.upf
Br 79.90 Br.upf
ATOMIC_POSITIONS angstrom
Rb 1.344 1.782 0.724
Rb 3.317 5.345 7.748
Pd -0.651 1.782 4.261
Pd 5.312 5.345 4.210
Br 0.570 3.592 5.424
Br 0.570 7.097 5.424
Br 1.646 5.345 0.910
Br 3.015 1.782 7.561
Br 4.090 0.029 3.048
Br 4.090 3.534 3.048
CELL_PARAMETERS angstrom
5.971 0.000 0.000
0.000 7.126 0.000
-1.311 0.000 8.472
```

Computed properties:
The density of states at the Fermi level is 0.00 states/eV/cell. As for the formation energy without anion corrections: -4.13 eV/f.u. The value obtained for the total energy is -3.06 eV/atom. Its density is 3.98 g/cm³. The space group is P2_1/m.



## AcLa6Sm8 (GGA-PBE)

Data for an optimized crystal structure of AcLa6Sm8. Values from VASP.

Quantum ESPRESSO input file:
```
&SYSTEM
  ibrav = 0, nat = 15, ntyp = 3
/
ATOMIC_SPECIES
Ac 227.00 Ac.upf
La 138.91 La.upf
Sm 150.36 Sm.upf
ATOMIC_POSITIONS angstrom
Ac 0.000 0.000 0.000
La -0.793 -2.006 6.359
La -1.341 1.690 6.359
La -2.134 -0.317 14.174
La 2.134 0.317 6.359
La 1.341 -1.690 14.174
La 0.793 2.006 14.174
Sm -2.706 -2.256 10.292
Sm -3.307 1.215 10.242
Sm 0.601 -3.472 10.242
Sm 0.000 0.000 8.821
Sm 0.000 0.000 11.713
Sm -0.601 3.472 10.292
Sm 3.307 -1.215 10.292
Sm 2.706 2.256 10.242
CELL_PARAMETERS angstrom
4.785 2.762 6.845
-4.785 2.762 6.845
0.000 -5.525 6.845
```

Computed properties:
The density of states at the Fermi level is 23.53 states/eV/cell. The value obtained for the total energy is -4.62 eV/atom. Its density is 6.92 g/cm³. The calculation puts the formation enthalpy at 0 K at 0.144 eV/atom. The space group is R-3.



## KSbMoW2 (GGA-PBE)

Data for an optimized crystal structure of KSbMoW2. Values from VASP.

Quantum ESPRESSO input file:
```
&SYSTEM
  ibrav = 0, nat = 5, ntyp = 4
/
ATOMIC_SPECIES
K 39.10 K.upf
Sb 121.76 Sb.upf
Mo 95.94 Mo.upf
W 183.84 W.upf
ATOMIC_POSITIONS angstrom
K 0.000 0.000 0.000
Sb 2.349 2.349 2.277
Mo 0.000 0.000 2.277
W 0.000 2.349 0.000
W 2.349 0.000 0.000
CELL_PARAMETERS angstrom
4.698 0.000 0.000
0.000 4.698 0.000
0.000 0.000 4.554
```

Computed properties:
The density of states at the Fermi level is 6.81 states/eV/cell. As for the formation energy without anion corrections: 16.89 eV/f.u. The value obtained for the total energy is -5.01 eV/atom. Its density is 10.32 g/cm³. The space group is P4/mmm.



## Ba3PCl (GGA-PBE)

Data for an optimized crystal structure of Ba3PCl. Values from VASP.

Quantum ESPRESSO input file:
```
&SYSTEM
  ibrav = 0, nat = 5, ntyp = 3
/
ATOMIC_SPECIES
Ba 137.33 Ba.upf
P 30.97 P.upf
Cl 35.45 Cl.upf
ATOMIC_POSITIONS angstrom
Ba 0.000 0.000 3.135
Ba 0.000 3.135 0.000
Ba 3.135 0.000 0.000
P 0.000 0.000 0.000
Cl 3.135 3.135 3.135
CELL_PARAMETERS angstrom
6.270 0.000 0.000
0.000 6.270 0.000
0.000 0.000 6.270
```

Computed properties:
The density of states at the Fermi level is 5.39 states/eV/cell. As for the formation energy without anion corrections: -4.16 eV/f.u. The value obtained for the total energy is -3.44 eV/atom. Its density is 3.22 g/cm³. The space group is Pm-3m.



## NaInTe2 (GGA-PBE)

Data for an optimized crystal structure of NaInTe2. Values from VASP.

Quantum ESPRESSO input file:
```
&SYSTEM
  ibrav = 0, nat = 4, ntyp = 3
/
ATOMIC_SPECIES
Na 22.99 Na.upf
In 114.82 In.upf
Te 127.60 Te.upf
ATOMIC_POSITIONS angstrom
Na 0.000 0.000 0.000
In 0.000 0.000 12.766
Te 0.000 0.000 3.259
Te 0.000 0.000 15.453
CELL_PARAMETERS angstrom
2.364 1.365 8.287
-2.364 1.365 8.287
0.000 -2.730 8.287
```

Computed properties:
The density of states at the Fermi level is 0.77 states/eV/cell. As for the formation energy without anion corrections: -1.89 eV/f.u. The value obtained for the total energy is -3.06 eV/atom. Its density is 4.07 g/cm³. The space group is R3m.



## Nd4ZnC (GGA-PBE)

Data for an optimized crystal structure of Nd4ZnC. Values from VASP.

Quantum ESPRESSO input file:
```
&SYSTEM
  ibrav = 0, nat = 12, ntyp = 3
/
ATOMIC_SPECIES
Nd 144.24 Nd.upf
Zn 65.41 Zn.upf
C 12.01 C.upf
ATOMIC_POSITIONS angstrom
Nd 0.335 4.322 4.779
Nd -0.295 0.684 3.826
Nd 1.272 -0.684 1.062
Nd 3.350 4.322 3.514
Nd 1.902 -4.322 2.015
Nd 3.980 0.684 4.467
Nd 5.548 -0.684 1.702
Nd 4.918 -4.322 0.749
Zn 3.410 1.707 1.382
Zn 1.843 -1.707 4.146
C 1.843 6.193 4.146
C 3.410 -6.193 1.382
CELL_PARAMETERS angstrom
4.193 -7.234 0.000
4.193 7.234 0.000
-3.135 0.000 5.529
```

Computed properties:
The density of states at the Fermi level is 14.20 states/eV/cell. The value obtained for the total energy is -4.97 eV/atom. Its density is 6.48 g/cm³. The calculation puts the formation enthalpy at 0 K at -0.043 eV/atom. The space group is C2/c.